Ho5ErTmSc2 PBE-GGA relaxed; DOS at the Fermi energy = 27.671 states/eV per cell; DFT total energy = -86.158 eV/cell; crystal system = orthorhombic; mass density = 7.62 Mg/m³; space-group type = Cmc2_1
1.0
5.5463 0.0000 0.0000
-2.7731 10.6091 0.0000
0.0000 0.0000 9.2636
Ho Sc Er Tm
10 4 2 2
direct
0.2651 0.5301 0.3334
0.4687 0.9374 0.7487
0.3917 0.7834 0.0477
0.7349 0.4699 0.8334
0.3059 0.6118 0.7185
0.0123 0.0246 0.0116
0.6941 0.3882 0.2185
0.5313 0.0626 0.2487
0.6083 0.2166 0.5477
0.9877 0.9754 0.5116
0.8866 0.7732 0.8239
0.8660 0.7319 0.2017
0.1340 0.2681 0.7017
0.1134 0.2268 0.3239
0.8150 0.6300 0.5167
0.1850 0.3700 0.0167
0.5986 0.1973 0.9218
0.4014 0.8027 0.4218